Ba2CeNbO6 | SCAN | PBEsol geometry

Calculated values
- Total magnetization: 1.0 μB/f.u.
- Final energy: -1.66512 Ry per atom
- DOS(E_F): 5.5 states/eV/f.u.

```
data_Ba2CeNbO6
_chemical_formula_sum 'Ba2 Ce1 Nb1 O6'
_space_group_name_H-M_alt 'P 1'
_space_group_IT_number 1
_cell_length_a 6.023
_cell_length_b 6.023
_cell_length_c 6.050
_cell_angle_alpha 90.35
_cell_angle_beta 119.45
_cell_angle_gamma 120.00
loop_
_space_group_symop_operation_xyz
'x,y,z'
loop_
_atom_site_label
_atom_site_type_symbol
_atom_site_fract_x
_atom_site_fract_y
_atom_site_fract_z
_atom_site_occupancy
O1 O 0.028 0.293 0.796 1
O2 O 0.557 0.735 0.292 1
O3 O 0.503 0.768 0.796 1
O4 O 0.443 0.265 0.708 1
O5 O 0.497 0.232 0.204 1
O6 O 0.972 0.707 0.204 1
Nb1 Nb 0.500 0.500 0.000 1
Ba1 Ba 0.004 0.751 0.755 1
Ba2 Ba 0.996 0.249 0.245 1
Ce1 Ce 0.500 0.000 0.500 1
```

=====

Cd3ClO | SCAN | PBEsol geometry

Calculated values
- Total magnetization: 0.0 μB/f.u.
- Final energy: -1.57178 Ry per atom
- DOS(E_F): 2.8 states/eV/f.u.

```
data_Cd3ClO
_chemical_formula_sum 'Cd3 Cl1 O1'
_space_group_name_H-M_alt 'P 1'
_space_group_IT_number 1
_cell_length_a 4.681
_cell_length_b 4.681
_cell_length_c 4.681
_cell_angle_alpha 90.00
_cell_angle_beta 90.00
_cell_angle_gamma 90.00
loop_
_space_group_symop_operation_xyz
'x,y,z'
loop_
_atom_site_label
_atom_site_type_symbol
_atom_site_fract_x
_atom_site_fract_y
_atom_site_fract_z
_atom_site_occupancy
Cl1 Cl 0.500 0.500 0.500 1
O1 O 0.000 0.000 0.000 1
Cd1 Cd 0.000 0.500 0.000 1
Cd2 Cd 0.000 0.000 0.500 1
Cd3 Cd 0.500 0.000 0.000 1
```

=====

Ca4Mg3FeSi8O24 | SCAN | PBEsol geometry

Calculated values
- Total magnetization: 4.0 μB/f.u.
- Final energy: -0.78346 Ry per atom

```
data_Ca4Mg3FeSi8O24
_chemical_formula_sum 'Ca4 Mg3 Fe1 Si8 O24'
_space_group_name_H-M_alt 'P 1'
_space_group_IT_number 1
_cell_length_a 5.264
_cell_length_b 6.622
_cell_length_c 13.245
_cell_angle_alpha 90.93
_cell_angle_beta 101.38
_cell_angle_gamma 101.55
loop_
_space_group_symop_operation_xyz
'x,y,z'
loop_
_atom_site_label
_atom_site_type_symbol
_atom_site_fract_x
_atom_site_fract_y
_atom_site_fract_z
_atom_site_occupancy
Ca1 Ca 0.098 0.697 0.850 1
Ca2 Ca 0.601 0.700 0.349 1
Ca3 Ca 0.397 0.297 0.649 1
Ca4 Ca 0.901 0.303 0.150 1
Mg1 Mg 0.296 0.091 0.046 1
Mg2 Mg 0.704 0.908 0.955 1
Mg3 Mg 0.206 0.911 0.455 1
Fe1 Fe 0.797 0.095 0.547 1
Si1 Si 0.865 0.620 0.596 1
Si2 Si 0.365 0.620 0.096 1
Si3 Si 0.040 0.191 0.811 1
Si4 Si 0.543 0.193 0.309 1
Si5 Si 0.634 0.380 0.904 1
Si6 Si 0.138 0.383 0.403 1
Si7 Si 0.457 0.805 0.691 1
Si8 Si 0.960 0.809 0.190 1
O1 O 0.168 0.628 0.667 1
O2 O 0.671 0.631 0.166 1
O3 O 0.810 0.332 0.816 1
O4 O 0.314 0.335 0.314 1
O5 O 0.328 0.369 0.834 1
O6 O 0.832 0.370 0.333 1
O7 O 0.687 0.666 0.685 1
O8 O 0.189 0.668 0.185 1
O9 O 0.731 0.387 0.555 1
O10 O 0.233 0.386 0.055 1
O11 O 0.015 0.107 0.695 1
O12 O 0.518 0.112 0.192 1
O13 O 0.767 0.613 0.945 1
O14 O 0.269 0.616 0.443 1
O15 O 0.483 0.886 0.808 1
O16 O 0.984 0.891 0.307 1
O17 O 0.871 0.795 0.513 1
O18 O 0.370 0.796 0.013 1
O19 O 0.040 0.026 0.899 1
O20 O 0.540 0.026 0.396 1
O21 O 0.629 0.203 0.987 1
O22 O 0.138 0.207 0.485 1
O23 O 0.451 0.971 0.603 1
O24 O 0.960 0.974 0.102 1
```

=====

Mg2TlTe | SCAN | PBEsol geometry

Calculated values
- Relative energy among the computed polymorphs: 67.5 meV per atom
- Total magnetization: 0.0 μB/f.u.
- Final energy: -2.21154 Ry per atom
- DOS(E_F): 1.6 states/eV/f.u.

```
data_Mg2TlTe
_chemical_formula_sum 'Mg2 Tl1 Te1'
_space_group_name_H-M_alt 'P 1'
_space_group_IT_number 1
_cell_length_a 4.529
_cell_length_b 4.013
_cell_length_c 5.519
_cell_angle_alpha 90.00
_cell_angle_beta 90.00
_cell_angle_gamma 90.00
loop_
_space_group_symop_operation_xyz
'x,y,z'
loop_
_atom_site_label
_atom_site_type_symbol
_atom_site_fract_x
_atom_site_fract_y
_atom_site_fract_z
_atom_site_occupancy
Mg1 Mg 0.000 0.000 0.000 1
Mg2 Mg 0.500 0.000 0.500 1
Te1 Te 0.500 0.500 0.000 1
Tl1 Tl 0.000 0.500 0.500 1
```

=====

MgHgRu3 | SCAN | PBEsol geometry

Calculated values
- Total magnetization: 2.9 μB/f.u.
- Final energy: -2.48525 Ry per atom
- DOS(E_F): 4.3 states/eV/f.u.
- Energy of formation: 1.7101 eV/atom

```
data_MgHgRu3
_chemical_formula_sum 'Mg1 Hg1 Ru3'
_space_group_name_H-M_alt 'P 1'
_space_group_IT_number 1
_cell_length_a 4.437
_cell_length_b 4.437
_cell_length_c 4.437
_cell_angle_alpha 90.00
_cell_angle_beta 90.00
_cell_angle_gamma 90.00
loop_
_space_group_symop_operation_xyz
'x,y,z'
loop_
_atom_site_label
_atom_site_type_symbol
_atom_site_fract_x
_atom_site_fract_y
_atom_site_fract_z
_atom_site_occupancy
Ru1 Ru 0.000 0.500 0.000 1
Ru2 Ru 0.000 0.000 0.500 1
Ru3 Ru 0.500 0.000 0.000 1
Mg1 Mg 0.000 0.000 0.000 1
Hg1 Hg 0.500 0.500 0.500 1
```

=====

Sc3ReI | SCAN | PBEsol geometry

Calculated values
- Total magnetization: 0.0 μB/f.u.
- Final energy: -2.20067 Ry per atom
- DOS(E_F): 5.0 states/eV/f.u.

```
data_Sc3ReI
_chemical_formula_sum 'Sc3 Re1 I1'
_space_group_name_H-M_alt 'P 1'
_space_group_IT_number 1
_cell_length_a 5.077
_cell_length_b 5.077
_cell_length_c 5.077
_cell_angle_alpha 90.00
_cell_angle_beta 90.00
_cell_angle_gamma 90.00
loop_
_space_group_symop_operation_xyz
'x,y,z'
loop_
_atom_site_label
_atom_site_type_symbol
_atom_site_fract_x
_atom_site_fract_y
_atom_site_fract_z
_atom_site_occupancy
I1 I 0.500 0.500 0.500 1
Re1 Re 0.000 0.000 0.000 1
Sc1 Sc 0.000 0.500 0.000 1
Sc2 Sc 0.000 0.000 0.500 1
Sc3 Sc 0.500 0.000 0.000 1
```